# 1
Here is a relaxed HfTaSe3 crystal from the Alexandria database. Energies are from PBE.

Cell lengths 4.976, 4.976, 4.976 Å; angles 90.00, 90.00, 90.00 degrees
Last column: magnetic moment on the atom in μB.
Sites, in units of the cell vectors:
Se  0.000  0.500  0.000  -0.04
Se  0.500  0.000  0.000  -0.03
Se  0.000  0.000  0.500  -0.03
Hf  0.500  0.500  0.500  0.90
Ta  0.000  0.000  0.000  0.14

Energy relative to the lowest polymorph listed for this composition = 0.000 eV per atom
Total moment = 1.506 Bohr magnetons per cell
Space group = No. 221
Mass density = 8.0 g cm⁻³

=====

# 2
Here is a relaxed BeCoHg2 crystal from the Alexandria database. Energies are from PBE.

Cell lengths 5.796, 5.796, 5.796 Å; angles 150.65, 135.31, 54.37 degrees
Last column: magnetic moment on the atom in μB.
Sites, in units of the cell vectors:
Co  0.275  0.775  0.500  0.70
Hg  0.758  0.258  0.500  -0.02
Hg  0.039  0.039  0.000  0.00
Be  0.428  0.428  0.000  -0.03

Total moment = 0.615 Bohr magnetons per cell
Space group = No. 44
ΔE_f = 393 meV per atom
Mass density = 11.7 g cm⁻³

=====

# 3
Here is a relaxed Ac6Si2RhCl3 crystal from the Alexandria database. Energies are from PBE.

Cell lengths 4.448, 9.148, 9.920 Å; angles 101.43, 102.96, 90.00 degrees
Sites, in units of the cell vectors:
Ac  0.672  0.576  0.343
Ac  0.653  0.100  0.306
Ac  0.000  0.771  0.999
Ac  0.328  0.424  0.657
Ac  0.000  0.229  0.001
Ac  0.347  0.900  0.694
Si  0.162  0.340  0.325
Si  0.838  0.660  0.675
Cl  0.821  0.153  0.643
Cl  0.179  0.847  0.357
Cl  0.500  0.500  0.000
Rh  0.500  0.000  0.000

Total moment = 0.000 Bohr magnetons per cell
Space group = No. 12
Electronic total energy = -62.169 eV per formula unit
Mass density = 7.0 g cm⁻³

=====

# 4
Here is a relaxed Hf2ScCr2 crystal from the Alexandria database. Energies are from PBE.

Cell lengths 7.552, 7.552, 3.232 Å; angles 90.00, 90.00, 90.00 degrees
Sites, in units of the cell vectors:
Cr  0.406  0.906  0.000
Cr  0.906  0.594  0.000
Cr  0.094  0.406  0.000
Cr  0.594  0.094  0.000
Hf  0.803  0.303  0.500
Hf  0.697  0.803  0.500
Hf  0.303  0.197  0.500
Hf  0.197  0.697  0.500
Sc  0.000  0.000  0.000
Sc  0.500  0.500  0.000

Total moment = 0.000 Bohr magnetons per cell
Space group = No. 127
ΔE_f = 197 meV per atom
Mass density = 9.1 g cm⁻³

=====

# 5
Here is a relaxed HgRh3Se crystal from the Alexandria database. Energies are from PBE.

Cell lengths 4.972, 4.972, 4.972 Å; angles 90.00, 90.00, 90.00 degrees
Last column: magnetic moment on the atom in μB.
Sites, in units of the cell vectors:
Se  0.500  0.500  0.500  0.21
Rh  0.000  0.500  0.000  1.21
Rh  0.500  0.000  0.000  0.86
Rh  0.000  0.000  0.500  1.02
Hg  0.000  0.000  0.000  0.02

Energy relative to the lowest polymorph listed for this composition = 1.302 eV per atom
Total moment = 3.528 Bohr magnetons per cell
Space group = No. 221
Mass density = 7.9 g cm⁻³

=====

# 6
Here is a relaxed CeSiS2 crystal from the Alexandria database. Energies are from PBE.

Cell lengths 3.383, 3.383, 8.543 Å; angles 78.58, 78.58, 60.00 degrees
Last column: magnetic moment on the atom in μB.
Sites, in units of the cell vectors:
S  0.113  0.113  0.661  -0.01
S  0.887  0.887  0.339  -0.01
Ce  0.000  0.000  0.000  0.82
Si  0.500  0.500  0.500  0.00

Total moment = 1.044 Bohr magnetons per cell
Space group = No. 166
Electronic total energy = -21.445 eV per formula unit
Mass density = 4.7 g cm⁻³

=====

# 7
Here is a relaxed DyCdCuAu crystal from the Alexandria database. Energies are from PBE.

Cell lengths 4.837, 4.837, 4.837 Å; angles 60.00, 60.00, 60.00 degrees
Sites, in units of the cell vectors:
Cd  0.750  0.750  0.750
Dy  0.250  0.250  0.250
Cu  0.000  0.000  0.000
Au  0.500  0.500  0.500

Total moment = 0.000 Bohr magnetons per cell
Space group = No. 216
ΔE_f = -424 meV per atom
Mass density = 11.1 g cm⁻³

=====

# 8
Here is a relaxed Hf6ZrPb3 crystal from the Alexandria database. Energies are from PBE.

Cell lengths 7.635, 7.946, 7.946 Å; angles 92.59, 90.00, 90.00 degrees
Sites, in units of the cell vectors:
Hf  0.343  0.030  0.447
Hf  0.656  0.205  0.795
Hf  0.662  0.580  0.709
Hf  0.162  0.709  0.580
Hf  0.662  0.291  0.420
Hf  0.343  0.553  0.970
Hf  0.162  0.420  0.291
Hf  0.120  0.121  0.879
Hf  0.843  0.970  0.553
Hf  0.620  0.879  0.121
Hf  0.843  0.447  0.030
Hf  0.156  0.795  0.205
Pb  0.945  0.115  0.224
Pb  0.445  0.885  0.776
Pb  0.346  0.371  0.629
Pb  0.445  0.224  0.115
Pb  0.945  0.776  0.885
Pb  0.846  0.629  0.371
Zr  0.964  0.349  0.651
Zr  0.464  0.651  0.349

Total moment = 0.000 Bohr magnetons per cell
Space group = No. 36
ΔE_f = 87 meV per atom
Mass density = 12.3 g cm⁻³

=====

# 9
Here is a relaxed MnAsPb crystal from the Alexandria database. Energies are from PBE.

Cell lengths 4.121, 4.121, 7.490 Å; angles 90.00, 90.00, 90.00 degrees
Last column: magnetic moment on the atom in μB.
Sites, in units of the cell vectors:
Pb  0.500  0.000  0.188  -0.03
Pb  0.000  0.500  0.812  -0.03
Mn  0.500  0.500  0.500  0.87
Mn  0.000  0.000  0.500  0.87
As  0.500  0.000  0.663  -0.04
As  0.000  0.500  0.337  -0.04

Energy relative to the lowest polymorph listed for this composition = 0.000 eV per atom
Total moment = 1.540 Bohr magnetons per cell
Space group = No. 129
ΔE_f = 57 meV per atom
Mass density = 8.8 g cm⁻³

=====

# 10
Here is a relaxed NdEu2Br crystal from the Alexandria database. Energies are from PBE.

Cell lengths 3.871, 3.871, 11.112 Å; angles 79.97, 79.97, 60.00 degrees
Last column: magnetic moment on the atom in μB.
Sites, in units of the cell vectors:
Nd  0.500  0.500  0.500  0.06
Br  0.000  0.000  0.000  -0.02
Eu  0.738  0.738  0.785  7.01
Eu  0.262  0.262  0.215  7.01

Energy relative to the lowest polymorph listed for this composition = 0.000 eV per atom
Total moment = 14.998 Bohr magnetons per cell
Space group = No. 166
Mass density = 6.2 g cm⁻³

=====

# 11
Here is a relaxed LaCuAs2 crystal from the Alexandria database. Energies are from PBE.

Cell lengths 7.589, 4.497, 4.166 Å; angles 90.00, 56.71, 126.13 degrees
Sites, in units of the cell vectors:
As  0.000  0.000  0.000
As  0.500  0.000  0.500
Cu  0.000  0.500  0.500
La  0.500  0.500  0.000

Total moment = 0.000 Bohr magnetons per cell
Space group = No. 65
ΔE_f = -522 meV per atom
Mass density = 6.9 g cm⁻³

=====

# 12
Here is a relaxed GaBTe3 crystal from the Alexandria database. Energies are from PBE.

Cell lengths 5.378, 5.378, 5.378 Å; angles 90.00, 90.00, 90.00 degrees
Sites, in units of the cell vectors:
Te  0.000  0.500  0.000
Te  0.500  0.000  0.000
Te  0.000  0.000  0.500
B  0.500  0.500  0.500
Ga  0.000  0.000  0.000

Energy relative to the lowest polymorph listed for this composition = 0.667 eV per atom
Total moment = 0.000 Bohr magnetons per cell
Space group = No. 221
Mass density = 4.9 g cm⁻³

=====

# 13
Here is a relaxed CaMgBr2 crystal from the Alexandria database. Energies are from PBE.

Cell lengths 10.032, 10.032, 10.032 Å; angles 23.21, 23.21, 23.21 degrees
Sites, in units of the cell vectors:
Br  0.228  0.228  0.228
Br  0.026  0.026  0.026
Mg  0.743  0.743  0.743
Ca  0.504  0.504  0.504

Energy relative to the lowest polymorph listed for this composition = 0.026 eV per atom
Total moment = 0.000 Bohr magnetons per cell
Space group = No. 160
Mass density = 2.7 g cm⁻³

=====

# 14
Here is a relaxed Ti2Ge2Pd crystal from the Alexandria database. Energies are from PBE.

Cell lengths 7.604, 7.604, 2.882 Å; angles 90.00, 90.00, 90.00 degrees
Sites, in units of the cell vectors:
Pd  0.000  0.000  0.000
Pd  0.500  0.500  0.000
Ge  0.826  0.326  0.500
Ge  0.674  0.826  0.500
Ge  0.326  0.174  0.500
Ge  0.174  0.674  0.500
Ti  0.128  0.372  0.000
Ti  0.628  0.128  0.000
Ti  0.872  0.628  0.000
Ti  0.372  0.872  0.000

Energy relative to the lowest polymorph listed for this composition = 0.327 eV per atom
Total moment = 0.207 Bohr magnetons per cell
Space group = No. 127
ΔE_f = -280 meV per atom
Mass density = 6.9 g cm⁻³

=====

# 15
Here is a relaxed ReTc2Pt crystal from the Alexandria database. Energies are from PBE.

Cell lengths 2.745, 2.745, 7.892 Å; angles 90.00, 90.00, 90.00 degrees
Sites, in units of the cell vectors:
Pt  0.000  0.000  0.501
Re  0.500  0.500  0.758
Tc  0.500  0.500  0.239
Tc  0.000  0.000  0.002

Energy relative to the lowest polymorph listed for this composition = 0.060 eV per atom
Total moment = 0.000 Bohr magnetons per cell
Space group = No. 99
ΔE_f = -44 meV per atom
Mass density = 16.1 g cm⁻³

=====

# 16
Here is a relaxed PrGe2Pt2 crystal from the Alexandria database. Energies are from PBE.

Cell lengths 4.415, 4.416, 10.034 Å; angles 90.05, 90.00, 90.00 degrees
Sites, in units of the cell vectors:
Pr  0.254  0.250  0.748
Pr  0.754  0.750  0.252
Ge  0.255  0.750  0.500
Ge  0.254  0.248  0.129
Ge  0.755  0.250  0.500
Ge  0.754  0.752  0.871
Pt  0.754  0.252  0.000
Pt  0.255  0.250  0.376
Pt  0.755  0.750  0.624
Pt  0.254  0.748  0.000

Total moment = 0.000 Bohr magnetons per cell
Space group = No. 11
ΔE_f = -938 meV per atom
Mass density = 11.5 g cm⁻³

=====

# 17
Here is a relaxed Ba2VTcNi crystal from the Alexandria database. Energies are from PBE.

Cell lengths 6.238, 4.334, 6.238 Å; angles 90.00, 90.00, 90.00 degrees
Last column: magnetic moment on the atom in μB.
Sites, in units of the cell vectors:
Tc  0.000  0.500  0.000  -1.08
Ba  0.500  0.000  0.000  0.04
Ba  0.000  0.000  0.500  0.06
V  0.000  0.000  0.000  1.35
Ni  0.500  0.500  0.500  0.60

Total moment = 1.125 Bohr magnetons per cell
Space group = No. 123
ΔE_f = 1105 meV per atom
Mass density = 4.7 g cm⁻³

=====

# 18
Here is a relaxed KRbZn crystal from the Alexandria database. Energies are from PBE.

Cell lengths 4.427, 4.427, 8.500 Å; angles 105.09, 105.09, 90.00 degrees
Sites, in units of the cell vectors:
Rb  0.031  0.031  0.063
K  0.296  0.296  0.592
Zn  0.673  0.673  0.346

Energy relative to the lowest polymorph listed for this composition = 0.049 eV per atom
Total moment = 0.000 Bohr magnetons per cell
Space group = No. 107
ΔE_f = 150 meV per atom
Mass density = 2.0 g cm⁻³

=====

# 19
Here is a relaxed TaRe2As crystal from the Alexandria database. Energies are from PBE.

Cell lengths 3.174, 3.174, 6.231 Å; angles 90.00, 90.00, 90.00 degrees
Sites, in units of the cell vectors:
Re  0.000  0.000  0.993
Re  0.000  0.000  0.507
Ta  0.500  0.500  0.250
As  0.500  0.500  0.750

Total moment = 0.000 Bohr magnetons per cell
Space group = No. 123
ΔE_f = 59 meV per atom
Mass density = 16.6 g cm⁻³

=====

# 20
Here is a relaxed Zr3MnTc crystal from the Alexandria database. Energies are from PBE.

Cell lengths 4.950, 4.950, 4.950 Å; angles 90.00, 90.00, 90.00 degrees
Last column: magnetic moment on the atom in μB.
Sites, in units of the cell vectors:
Zr  0.000  0.500  0.000  0.01
Zr  0.500  0.000  0.000  -0.02
Zr  0.000  0.000  0.500  0.00
Tc  0.000  0.000  0.000  0.01
Mn  0.500  0.500  0.500  0.14

Total moment = 0.139 Bohr magnetons per cell
Space group = No. 221
ΔE_f = 1054 meV per atom
Mass density = 5.8 g cm⁻³

=====

# 21
Here is a relaxed LaHf2GaB crystal from the Alexandria database. Energies are from PBE.

Cell lengths 5.318, 4.441, 5.318 Å; angles 90.00, 90.00, 90.00 degrees
Sites, in units of the cell vectors:
La  0.000  0.000  0.000
Hf  0.000  0.000  0.500
Hf  0.500  0.000  0.000
Ga  0.500  0.500  0.500
B  0.000  0.500  0.000

Total moment = 0.000 Bohr magnetons per cell
Space group = No. 123
ΔE_f = 1830 meV per atom
Mass density = 7.6 g cm⁻³

=====

# 22
Here is a relaxed La2Tb4Ho3 crystal from the Alexandria database. Energies are from PBE.

Cell lengths 3.609, 3.609, 26.577 Å; angles 90.00, 90.00, 120.00 degrees
Sites, in units of the cell vectors:
Ho  0.000  0.000  0.329
Ho  0.000  0.000  0.982
Ho  0.667  0.333  0.649
La  0.667  0.333  0.868
La  0.667  0.333  0.091
Tb  0.667  0.333  0.436
Tb  0.000  0.000  0.755
Tb  0.000  0.000  0.543
Tb  0.667  0.333  0.225

Energy relative to the lowest polymorph listed for this composition = 0.000 eV per atom
Total moment = 0.000 Bohr magnetons per cell
Space group = No. 156
ΔE_f = 50 meV per atom
Mass density = 7.8 g cm⁻³

=====

# 23
Here is a relaxed LaLuGaGe crystal from the Alexandria database. Energies are from PBE.

Cell lengths 5.145, 5.145, 5.145 Å; angles 60.00, 60.00, 60.00 degrees
Sites, in units of the cell vectors:
Ga  0.250  0.250  0.250
Ge  0.750  0.750  0.750
La  0.500  0.500  0.500
Lu  0.000  0.000  0.000

Total moment = 0.000 Bohr magnetons per cell
Space group = No. 216
ΔE_f = -576 meV per atom
Mass density = 7.9 g cm⁻³

=====

# 24
Here is a relaxed InAs2PdBr crystal from the Alexandria database. Energies are from PBE.

Cell lengths 5.225, 5.225, 5.399 Å; angles 90.00, 90.00, 90.00 degrees
Last column: magnetic moment on the atom in μB.
Sites, in units of the cell vectors:
Br  0.000  0.000  0.500  0.04
As  0.500  0.000  0.000  0.11
As  0.000  0.500  0.000  0.11
Pd  0.500  0.500  0.500  0.04
In  0.000  0.000  0.000  0.00

Energy relative to the lowest polymorph listed for this composition = 0.670 eV per atom
Total moment = 0.551 Bohr magnetons per cell
Space group = No. 123
Mass density = 5.1 g cm⁻³

=====

# 25
Here is a relaxed LiTe2Au crystal from the Alexandria database. Energies are from PBE.

Cell lengths 4.193, 4.193, 6.710 Å; angles 72.31, 72.31, 60.73 degrees
Sites, in units of the cell vectors:
Au  0.750  0.750  0.750
Te  0.993  0.993  0.001
Te  0.507  0.507  0.499
Li  0.250  0.250  0.250

Total moment = 0.000 Bohr magnetons per cell
Space group = No. 12
Electronic total energy = -12.521 eV per formula unit
Mass density = 7.9 g cm⁻³

=====

# 26
Here is a relaxed CsK2AuS2 crystal from the Alexandria database. Energies are from PBE.

Cell lengths 5.442, 5.442, 8.650 Å; angles 108.33, 108.33, 90.00 degrees
Sites, in units of the cell vectors:
S  0.150  0.150  0.299
S  0.850  0.850  0.701
Cs  0.500  0.500  0.000
Au  0.000  0.000  0.000
K  0.750  0.250  0.500
K  0.250  0.750  0.500

Total moment = 0.000 Bohr magnetons per cell
Space group = No. 139
Electronic total energy = -20.167 eV per formula unit
Mass density = 3.4 g cm⁻³